A plane-wave DFT calculation with PBE was carried out for crystalline UH6F12 at its relaxed geometry.

abc: 6.2307 6.2307 6.2307
angles: 91.23 91.23 91.23
Element x y z (fractional)
1 U 0.0000 0.0000 0.0000
2 H 0.6748 0.7207 0.4810
3 H 0.5190 0.3252 0.2793
4 H 0.2793 0.5190 0.3252
5 H 0.3252 0.2793 0.5190
6 H 0.4810 0.6748 0.7207
7 H 0.7207 0.4810 0.6748
8 F 0.7924 0.6227 0.4644
9 F 0.4644 0.7924 0.6227
10 F 0.6227 0.4644 0.7924
11 F 0.2076 0.3773 0.5356
12 F 0.5356 0.2076 0.3773
13 F 0.3773 0.5356 0.2076
14 F 0.1141 0.9269 0.2952
15 F 0.0731 0.7048 0.8859
16 F 0.7048 0.8859 0.0731
17 F 0.8859 0.0731 0.7048
18 F 0.9269 0.2952 0.1141
19 F 0.2952 0.1141 0.9269

Results
Total energy   -95.09 eV for the cell shown
M_tot   0.00 μB/f.u.

---

A plane-wave DFT calculation with PBE was carried out for crystalline Sr2CdRh at its relaxed geometry.

abc: 3.6788 3.7928 8.7595
angles: 90.00 90.00 90.00
Element x y z (fractional)
1 Cd 0.0000 0.0000 0.5661
2 Rh 0.5000 0.5000 0.6899
3 Sr 0.0000 0.0000 0.9176
4 Sr 0.5000 0.5000 0.3264

Results
Total energy   -12.05 eV for the cell shown
M_tot   0.00 μB/f.u.
Energy of formation from the pure elements   -0.11 eV per atom